P:
# Zn4GaPd2 PBE-GGA relaxed
data_Zn4GaPd2
_chemical_formula_sum 'Zn8 Ga2 Pd4'
_cell_length_a 3.685
_cell_length_b 3.685
_cell_length_c 18.012
_cell_angle_alpha 90.00
_cell_angle_beta 90.00
_cell_angle_gamma 90.00
_space_group_name_H-M_alt 'I 4/m m m'
_space_group_IT_number 139
_space_group_name_Hall '-I 4 2'
loop_
_atom_site_label
_atom_site_type_symbol
_atom_site_fract_x
_atom_site_fract_y
_atom_site_fract_z
Zn1 Zn 0.000 0.000 0.137
Zn2 Zn 0.000 0.500 0.250
Ga1 Ga 0.000 0.000 0.000
Pd1 Pd 0.000 0.000 0.360
# Crystal system: tetragonal
# Volume (A^3/atom): 17.47

***

Q:
# Zn4GaPd2 PBE-GGA relaxed
data_Zn4GaPd2
_chemical_formula_sum 'Zn8 Ga2 Pd4'
_cell_length_a 5.172
_cell_length_b 6.742
_cell_length_c 6.846
_cell_angle_alpha 68.49
_cell_angle_beta 79.73
_cell_angle_gamma 75.45
_space_group_name_H-M_alt 'P 1'
_space_group_IT_number 1
_space_group_name_Hall 'P 1'
loop_
_atom_site_label
_atom_site_type_symbol
_atom_site_fract_x
_atom_site_fract_y
_atom_site_fract_z
Zn1 Zn 0.000 0.000 0.000
Zn2 Zn 0.009 0.664 0.629
Zn3 Zn 0.142 0.047 0.338
Zn4 Zn 0.235 0.274 0.621
Zn5 Zn 0.585 0.257 0.253
Zn6 Zn 0.597 0.460 0.703
Zn7 Zn 0.665 0.838 0.352
Zn8 Zn 0.778 0.068 0.643
Ga1 Ga 0.198 0.478 0.006
Ga2 Ga 0.698 0.693 0.989
Pd1 Pd 0.304 0.657 0.273
Pd2 Pd 0.356 0.852 0.716
Pd3 Pd 0.468 0.097 0.985
Pd4 Pd 0.879 0.444 0.355
# Crystal system: triclinic
# Volume (A^3/atom): 15.28

***

Energetically preferred structure: Q | next structure: +208 meV/atom